First-principles (PBE-GGA) data for a relaxed structure of KBSeN2, as listed in Alexandria.

```
KBSeN2
1.0
4.9690 0.0000 0.0000
0.0000 4.9690 0.0000
0.0000 0.0000 6.3791
N B K Se
2 1 1 1
direct
0.0000 0.5000 0.0000
0.5000 0.0000 0.0000
0.5000 0.5000 0.5000
0.0000 0.0000 0.0000
0.0000 0.0000 0.5000
```

## Properties
formation energy without anion corrections = 2.94 eV/atom
crystal system = tetragonal
offset from the most stable computed form = 1377.4 meV/atom

=====

First-principles (PBE-GGA) data for a relaxed structure of CdBPt4, as listed in Alexandria.

```
CdBPt4
1.0
0.6350 5.3807 1.5478
-4.0606 -0.3192 2.7753
5.9714 0.9588 4.4739
Pt B Cd
8 2 2
direct
0.2444 0.0000 0.0000
0.3062 0.1945 0.3877
0.7556 0.0000 0.0000
0.3584 0.3861 0.7722
0.6938 0.8055 0.6123
0.8694 0.3861 0.7722
0.6416 0.6139 0.2278
0.1306 0.6139 0.2278
0.5000 0.6819 0.9999
0.5000 0.3181 0.0001
0.8054 0.1942 0.3892
0.1946 0.8058 0.6108
```

## Properties
crystal system = monoclinic
calculated formation energy = -18.60 kJ/mol of atoms
offset from the most stable computed form = 0.0 meV/atom

=====

First-principles (PBE-GGA) data for a relaxed structure of BaPdS, as listed in Alexandria.

```
BaPdS
1.0
-3.7994 -1.8079 -1.0197
1.3777 -3.8372 1.6701
-2.0755 2.9069 2.5795
S Ba Pd
1 1 1
direct
0.1664 0.0000 0.0000
0.6667 0.6667 0.3333
0.1670 0.3333 0.6667
```

## Properties
formation energy without anion corrections = -1.21 eV/atom
crystal system = hexagonal

=====

First-principles (PBE-GGA) data for a relaxed structure of KCu2Re, as listed in Alexandria.

```
KCu2Re
1.0
2.7575 0.0015 0.0000
-0.0014 2.7575 0.0000
0.0000 0.0000 9.1279
Cu K Re
2 1 1
direct
0.0000 0.0000 0.9463
0.0000 0.0000 0.5537
0.5000 0.5000 0.2500
0.5000 0.5000 0.7500
```

## Properties
crystal system = tetragonal
calculated formation energy = 65.72 kJ/mol of atoms
offset from the most stable computed form = 30.0 meV/atom

=====

First-principles (PBE-GGA) data for a relaxed structure of Tb3Nd6Sm2Sc, as listed in Alexandria.

```
Tb3Nd6Sm2Sc
1.0
-2.1490 1.6449 5.6514
-3.2870 -3.9637 -3.5703
7.4989 -8.2585 4.0975
Nd Tb Sm Sc
6 3 2 1
direct
0.9176 0.5879 0.7514
0.2475 0.2475 0.7508
0.5879 0.9176 0.7514
0.4121 0.0824 0.2486
0.0824 0.4121 0.2486
0.7525 0.7525 0.2492
0.8336 0.1664 0.5000
0.5000 0.5000 0.5000
0.1664 0.8336 0.5000
0.3332 0.6668 0.0000
0.6668 0.3332 0.0000
0.0000 0.0000 0.0000
```

## Properties
crystal system = monoclinic
calculated formation energy = 2.26 kJ/mol of atoms

=====

no.,total magnetic moment (μB/atom)
1,1.20
2,0.00
3,0.00
4,0.00
5,0.00